# 1
Compound: NaCaBe2V
Source: Alexandria via LeMat-Bulk
Functional: PBE
Structure: optimized geometry

The energy relative to the elements comes out at 1.045 eV per atom. The value obtained for the distance to the lowest polymorph of the same formula is 72 meV/atom. For the total magnetization, the calculation gives 3.6 μB per cell.

The space group is P4/mmm (No. 123) and the conventional cell measures 4.698, 4.698 and 5.248 Å, with angles of 90.00, 90.00 and 90.00 degrees. The inequivalent atoms are Na at (0.000, 0.000, 0.000), Ca at (0.500, 0.500, 0.000), Be at (0.000, 0.500, 0.500) and V at (0.500, 0.500, 0.500).

# 2
Compound: NaCa2ZrBe
Source: Alexandria via LeMat-Bulk
Functional: PBE
Structure: optimized geometry

The energy relative to the elements comes out at 1.117 eV per atom. For the total magnetization, the calculation gives 1.6 μB per cell.

The space group is P4/mmm (No. 123) and the conventional cell measures 5.472, 5.472 and 4.736 Å, with angles of 90.00, 90.00 and 90.00 degrees. The inequivalent atoms are Na at (0.000, 0.000, 0.000), Ca at (0.000, 0.500, 0.000), Zr at (0.500, 0.500, 0.500) and Be at (0.000, 0.000, 0.500).

# 3
Compound: Ca2Be2Nb
Source: Alexandria via LeMat-Bulk
Functional: PBE
Structure: optimized geometry

The energy relative to the elements comes out at 0.550 eV per atom. The value obtained for the distance to the lowest polymorph of the same formula is 0 meV/atom. For the total magnetization, the calculation gives 1.4 μB per cell.

The space group is P4/mbm (No. 127) and the conventional cell measures 6.631, 6.631 and 4.694 Å, with angles of 90.00, 90.00 and 90.00 degrees. The inequivalent atoms are Ca at (0.179, 0.321, 0.000), Be at (0.124, 0.624, 0.500) and Nb at (0.000, 0.000, 0.500).

# 4
Compound: Ca2BeNb
Source: Alexandria via LeMat-Bulk
Functional: PBE
Structure: optimized geometry

The energy relative to the elements comes out at 0.952 eV per atom. For the total magnetization, the calculation gives 11.3 μB per cell.

The space group is I-42d (No. 122) and the conventional cell measures 8.282, 8.282 and 5.714 Å, with angles of 90.00, 90.00 and 90.00 degrees. The inequivalent atoms are Ca at (0.197, 0.750, 0.125), Be at (0.000, 0.000, 0.000) and Nb at (0.000, 0.000, 0.500).

# 5
Compound: CaBe2Nb2
Source: Alexandria via LeMat-Bulk
Functional: PBE
Structure: optimized geometry

The energy relative to the elements comes out at 0.355 eV per atom. For the total magnetization, the calculation gives 0.0 μB per cell.

The space group is P4/mbm (No. 127) and the conventional cell measures 7.628, 7.628 and 2.897 Å, with angles of 90.00, 90.00 and 90.00 degrees. The inequivalent atoms are Ca at (0.000, 0.000, 0.000), Be at (0.164, 0.336, 0.000) and Nb at (0.131, 0.631, 0.500).

# 6
Compound: Ca3BeNb
Source: Alexandria via LeMat-Bulk
Functional: PBE
Structure: optimized geometry

The energy relative to the elements comes out at 1.314 eV per atom. The value obtained for the distance to the lowest polymorph of the same formula is 397 meV/atom. For the total magnetization, the calculation gives 0.0 μB per cell.

The space group is Pm-3m (No. 221) and the conventional cell measures 5.525, 5.525 and 5.525 Å, with angles of 90.00, 90.00 and 90.00 degrees. The inequivalent atoms are Ca at (0.000, 0.000, 0.500), Be at (0.500, 0.500, 0.500) and Nb at (0.000, 0.000, 0.000).

# 7
Compound: CaBe3Nb
Source: Alexandria via LeMat-Bulk
Functional: PBE
Structure: optimized geometry

The energy relative to the elements comes out at 0.917 eV per atom. The value obtained for the distance to the lowest polymorph of the same formula is 0 meV/atom. For the total magnetization, the calculation gives 0.0 μB per cell.

The space group is Pm-3m (No. 221) and the conventional cell measures 4.595, 4.595 and 4.595 Å, with angles of 90.00, 90.00 and 90.00 degrees. The inequivalent atoms are Ca at (0.000, 0.000, 0.000), Be at (0.000, 0.500, 0.500) and Nb at (0.500, 0.500, 0.500).

# 8
Compound: Ca3BeNb
Source: Alexandria via LeMat-Bulk
Functional: PBE
Structure: optimized geometry

The energy relative to the elements comes out at 0.917 eV per atom. The value obtained for the distance to the lowest polymorph of the same formula is 0 meV/atom. For the total magnetization, the calculation gives 3.7 μB per cell.

The space group is Pm-3m (No. 221) and the conventional cell measures 5.449, 5.449 and 5.449 Å, with angles of 90.00, 90.00 and 90.00 degrees. The inequivalent atoms are Ca at (0.000, 0.000, 0.500), Be at (0.000, 0.000, 0.000) and Nb at (0.500, 0.500, 0.500).

# 9
Compound: CaBe3Nb
Source: Alexandria via LeMat-Bulk
Functional: PBE
Structure: optimized geometry

The energy relative to the elements comes out at 1.951 eV per atom. The value obtained for the distance to the lowest polymorph of the same formula is 1034 meV/atom. For the total magnetization, the calculation gives 0.0 μB per cell.

The space group is Pm-3m (No. 221) and the conventional cell measures 4.322, 4.322 and 4.322 Å, with angles of 90.00, 90.00 and 90.00 degrees. The inequivalent atoms are Ca at (0.000, 0.000, 0.000), Be at (0.000, 0.000, 0.500) and Nb at (0.500, 0.500, 0.500).

# 10
Compound: Ca2Be2Nb
Source: Alexandria via LeMat-Bulk
Functional: PBE
Structure: optimized geometry

The energy relative to the elements comes out at 0.880 eV per atom. The value obtained for the distance to the lowest polymorph of the same formula is 330 meV/atom. For the total magnetization, the calculation gives 1.1 μB per cell.

The space group is I4/mmm (No. 139) and the conventional cell measures 3.959, 3.959 and 12.221 Å, with angles of 90.00, 90.00 and 90.00 degrees. The inequivalent atoms are Ca at (0.000, 0.500, 0.250), Be at (0.000, 0.000, 0.078) and Nb at (0.000, 0.000, 0.500).

# 11
Compound: Ca2BeNbP
Source: Alexandria via LeMat-Bulk
Functional: PBE
Structure: optimized geometry

The energy relative to the elements comes out at 0.618 eV per atom. For the total magnetization, the calculation gives 0.0 μB per cell.

The space group is P4/mmm (No. 123) and the conventional cell measures 5.619, 5.619 and 3.733 Å, with angles of 90.00, 90.00 and 90.00 degrees. The inequivalent atoms are Ca at (0.000, 0.500, 0.000), Be at (0.000, 0.000, 0.000), Nb at (0.500, 0.500, 0.500) and P at (0.000, 0.000, 0.500).

# 12
Compound: CaBeNbSi2
Source: Alexandria via LeMat-Bulk
Functional: PBE
Structure: optimized geometry

The total energy is -15.60 eV per formula unit. For the total magnetization, the calculation gives 0.6 μB per cell.

The space group is P4/mmm (No. 123) and the conventional cell measures 5.075, 5.075 and 4.823 Å, with angles of 90.00, 90.00 and 90.00 degrees. The inequivalent atoms are Ca at (0.000, 0.000, 0.000), Be at (0.500, 0.500, 0.500), Nb at (0.000, 0.000, 0.500) and Si at (0.000, 0.500, 0.000).

# 13
Compound: CaBeNbTc2
Source: Alexandria via LeMat-Bulk
Functional: PBE
Structure: optimized geometry

The energy relative to the elements comes out at 0.701 eV per atom. For the total magnetization, the calculation gives 0.0 μB per cell.

The space group is P4/mmm (No. 123) and the conventional cell measures 4.369, 4.369 and 4.519 Å, with angles of 90.00, 90.00 and 90.00 degrees. The inequivalent atoms are Ca at (0.000, 0.000, 0.000), Be at (0.500, 0.500, 0.500), Nb at (0.500, 0.500, 0.000) and Tc at (0.000, 0.500, 0.500).

# 14
Compound: Ca2BeNbTe
Source: Alexandria via LeMat-Bulk
Functional: PBE
Structure: optimized geometry

The total energy is -20.19 eV per formula unit. For the total magnetization, the calculation gives 2.2 μB per cell.

The space group is P4/mmm (No. 123) and the conventional cell measures 5.361, 5.361 and 4.581 Å, with angles of 90.00, 90.00 and 90.00 degrees. The inequivalent atoms are Ca at (0.000, 0.500, 0.000), Be at (0.000, 0.000, 0.000), Nb at (0.000, 0.000, 0.500) and Te at (0.500, 0.500, 0.500).

# 15
Compound: CaNdBeP2
Source: Alexandria via LeMat-Bulk
Functional: PBE
Structure: optimized geometry

The energy relative to the elements comes out at -0.794 eV per atom. For the total magnetization, the calculation gives 0.0 μB per cell.

The space group is P2/c (No. 13) and the conventional cell measures 6.774, 4.523 and 7.712 Å, with angles of 90.00, 107.38 and 90.00 degrees. The inequivalent atoms are Ca at (0.000, 0.072, 0.250), Nd at (0.500, 0.262, 0.750), Be at (0.000, 0.500, 0.000) and P at (0.260, 0.269, 0.023).

# 16
Compound: CaBeNi4
Source: Alexandria via LeMat-Bulk
Functional: PBE
Structure: optimized geometry

The energy relative to the elements comes out at 0.026 eV per atom. For the total magnetization, the calculation gives 3.6 μB per cell.

The space group is F-43m (No. 216) and the conventional cell measures 6.832, 6.832 and 6.832 Å, with angles of 90.00, 90.00 and 90.00 degrees. The inequivalent atoms are Ca at (0.000, 0.000, 0.000), Be at (0.250, 0.250, 0.250) and Ni at (0.124, 0.124, 0.624).

# 17
Compound: CaBeNi
Source: Alexandria via LeMat-Bulk
Functional: PBE
Structure: optimized geometry

The energy relative to the elements comes out at -0.052 eV per atom. The value obtained for the distance to the lowest polymorph of the same formula is 0 meV/atom. For the total magnetization, the calculation gives 0.0 μB per cell.

The space group is P-1 (No. 2) and the conventional cell measures 3.962, 5.374 and 5.707 Å, with angles of 74.68, 69.72 and 89.97 degrees. The inequivalent atoms are Ca at (0.107, 0.307, 0.285), Be at (0.373, 0.215, 0.753) and Ni at (0.205, 0.869, 0.091).

# 18
Compound: CaBeNi
Source: Alexandria via LeMat-Bulk
Functional: PBE
Structure: optimized geometry

The energy relative to the elements comes out at 0.379 eV per atom. The value obtained for the distance to the lowest polymorph of the same formula is 432 meV/atom. For the total magnetization, the calculation gives 0.0 μB per cell.

The space group is F-43m (No. 216) and the conventional cell measures 6.086, 6.086 and 6.086 Å, with angles of 90.00, 90.00 and 90.00 degrees. The inequivalent atoms are Ca at (0.000, 0.000, 0.000), Be at (0.000, 0.000, 0.500) and Ni at (0.250, 0.250, 0.250).

# 19
Compound: CaBeNi2
Source: Alexandria via LeMat-Bulk
Functional: PBE
Structure: optimized geometry

The energy relative to the elements comes out at 0.174 eV per atom. For the total magnetization, the calculation gives 0.0 μB per cell.

The space group is Imm2 (No. 44) and the conventional cell measures 2.973, 4.317 and 8.769 Å, with angles of 90.00, 90.00 and 90.00 degrees. The inequivalent atoms are Ca at (0.000, 0.000, 0.000), Be at (0.000, 0.500, 0.218), Ni at (0.000, 0.000, 0.531) and Ni at (0.000, 0.500, 0.781).

# 20
Compound: CaBeNi2
Source: Alexandria via LeMat-Bulk
Functional: PBE
Structure: optimized geometry

The energy relative to the elements comes out at 0.096 eV per atom. For the total magnetization, the calculation gives 0.0 μB per cell.

The space group is Pmm2 (No. 25) and the conventional cell measures 2.787, 3.315 and 6.183 Å, with angles of 90.00, 90.00 and 90.00 degrees. The inequivalent atoms are Ca at (0.000, 0.000, 0.000), Be at (0.500, 0.500, 0.648), Ni at (0.000, 0.000, 0.529) and Ni at (0.500, 0.500, 0.304).

# 21
Compound: CaBeNi
Source: Alexandria via LeMat-Bulk
Functional: PBE
Structure: optimized geometry

The energy relative to the elements comes out at -0.027 eV per atom. The value obtained for the distance to the lowest polymorph of the same formula is 26 meV/atom. For the total magnetization, the calculation gives 0.0 μB per cell.

The space group is P-6m2 (No. 187) and the conventional cell measures 3.8052, 3.8052 and 4.1913 Å, with angles of 90.00, 90.00 and 120.00 degrees. The inequivalent atoms are Ca at (0.0000, 0.0000, 0.0000), Be at (0.6667, 0.3333, 0.5000) and Ni at (0.3333, 0.6667, 0.5000).

# 22
Compound: CaBeNi2
Source: Alexandria via LeMat-Bulk
Functional: PBE
Structure: optimized geometry

The energy relative to the elements comes out at 0.109 eV per atom. For the total magnetization, the calculation gives 0.0 μB per cell.

The space group is I-42d (No. 122) and the conventional cell measures 4.433, 4.433 and 14.586 Å, with angles of 90.00, 90.00 and 90.00 degrees. The inequivalent atoms are Ca at (0.000, 0.000, 0.000), Be at (0.000, 0.000, 0.500) and Ni at (0.042, 0.750, 0.625).

# 23
Compound: CaBeNi2
Source: Alexandria via LeMat-Bulk
Functional: PBE
Structure: optimized geometry

The energy relative to the elements comes out at 0.232 eV per atom. For the total magnetization, the calculation gives 0.0 μB per cell.

The space group is I-4m2 (No. 119) and the conventional cell measures 3.713, 3.713 and 8.110 Å, with angles of 90.00, 90.00 and 90.00 degrees. The inequivalent atoms are Ca at (0.000, 0.000, 0.000), Be at (0.000, 0.500, 0.250), Ni at (0.000, 0.000, 0.500) and Ni at (0.000, 0.500, 0.750).

# 24
Compound: CaBeNi
Source: Alexandria via LeMat-Bulk
Functional: PBE
Structure: optimized geometry

The energy relative to the elements comes out at 0.038 eV per atom. The value obtained for the distance to the lowest polymorph of the same formula is 90 meV/atom. For the total magnetization, the calculation gives 0.0 μB per cell.

The space group is I4mm (No. 107) and the conventional cell measures 3.087, 3.087 and 10.029 Å, with angles of 90.00, 90.00 and 90.00 degrees. The inequivalent atoms are Ca at (0.000, 0.000, 0.000), Be at (0.000, 0.000, 0.276) and Ni at (0.000, 0.000, 0.717).

# 25
Compound: CaBeNi2
Source: Alexandria via LeMat-Bulk
Functional: PBE
Structure: optimized geometry

The energy relative to the elements comes out at -0.160 eV per atom. For the total magnetization, the calculation gives 0.0 μB per cell.

The space group is Cm (No. 8) and the conventional cell measures 6.725, 3.885 and 5.471 Å, with angles of 90.00, 114.37 and 90.00 degrees. The inequivalent atoms are Ca at (0.000, 0.000, 0.000), Be at (0.314, 0.500, 0.439), Ni at (0.189, 0.000, 0.563) and Ni at (0.483, 0.000, 0.447).

# 26
Compound: CaBeNi2
Source: Alexandria via LeMat-Bulk
Functional: PBE
Structure: optimized geometry

The energy relative to the elements comes out at 0.138 eV per atom. For the total magnetization, the calculation gives 0.0 μB per cell.

The space group is Immm (No. 71) and the conventional cell measures 3.409, 4.834 and 7.236 Å, with angles of 90.00, 90.00 and 90.00 degrees. The inequivalent atoms are Ca at (0.000, 0.000, 0.000), Be at (0.000, 0.000, 0.500) and Ni at (0.000, 0.500, 0.187).

# 27
Compound: CaBeNi2
Source: Alexandria via LeMat-Bulk
Functional: PBE
Structure: optimized geometry

The energy relative to the elements comes out at 0.296 eV per atom. For the total magnetization, the calculation gives 0.0 μB per cell.

The space group is F-43m (No. 216) and the conventional cell measures 6.117, 6.117 and 6.117 Å, with angles of 90.00, 90.00 and 90.00 degrees. The inequivalent atoms are Ca at (0.000, 0.000, 0.000), Be at (0.250, 0.250, 0.750), Ni at (0.000, 0.000, 0.500) and Ni at (0.250, 0.250, 0.250).

# 28
Compound: CaBeNi2
Source: Alexandria via LeMat-Bulk
Functional: PBE
Structure: optimized geometry

The energy relative to the elements comes out at 0.018 eV per atom. For the total magnetization, the calculation gives 0.0 μB per cell.

The space group is Pm (No. 6) and the conventional cell measures 3.724, 3.752 and 4.616 Å, with angles of 90.00, 90.13 and 90.00 degrees. The inequivalent atoms are Ca at (0.000, 0.000, 0.000), Be at (0.501, 0.500, 0.309), Ni at (0.001, 0.500, 0.505) and Ni at (0.501, 0.000, 0.502).